(1)
Density functional theory data (GGA-PBE) for an optimized crystal structure of Ca2SiHg2.

Cell: 8.0968 8.0968 4.2872 Å, 90.00 90.00 90.00°
Sites, in units of the cell vectors:
Si: 0.5000 0.5000 0.0000
Si: 0.0000 0.0000 0.0000
Hg: 0.6378 0.8622 0.5000
Hg: 0.3622 0.1378 0.5000
Hg: 0.1378 0.6378 0.5000
Hg: 0.8622 0.3622 0.5000
Ca: 0.6654 0.1654 0.0000
Ca: 0.3346 0.8346 0.0000
Ca: 0.8346 0.6654 0.0000
Ca: 0.1654 0.3346 0.0000

## Properties
Space-group type: P4/mbm
Energy above the most stable polymorph in this dataset in meV per atom: 137


(2)
Density functional theory data (GGA-PBE) for an optimized crystal structure of PmTl2Ge.

Cell: 5.0650 4.5024 4.5024 Å, 90.00 90.00 90.00°
Sites, in units of the cell vectors:
Ge: 0.5000 0.5000 0.5000
Tl: 0.0000 0.5000 0.0000
Tl: 0.0000 0.0000 0.5000
Pm: 0.5000 0.0000 0.0000

## Properties
Energy of formation in eV per atom: -0.304
Space-group type: P4/mmm
Energy above the most stable polymorph in this dataset in meV per atom: 0


(3)
Density functional theory data (GGA-PBE) for an optimized crystal structure of CaMg14Fe.

Cell: 6.3934 6.3934 10.3018 Å, 90.00 90.00 120.00°
Sites, in units of the cell vectors:
Mg: 0.4948 0.5052 0.0000
Mg: 0.1628 0.3255 0.2693
Mg: 0.6667 0.3333 0.7596
Mg: 0.6745 0.8372 0.2693
Mg: 0.5040 0.4960 0.5000
Mg: 0.1628 0.8372 0.7307
Mg: 0.1628 0.3255 0.7307
Mg: 0.0105 0.5052 0.0000
Mg: 0.6745 0.8372 0.7307
Mg: 0.6667 0.3333 0.2404
Mg: 0.1628 0.8372 0.2693
Mg: 0.5040 0.0080 0.5000
Mg: 0.9920 0.4960 0.5000
Mg: 0.4948 0.9895 0.0000
Fe: 0.0000 0.0000 0.5000
Ca: 0.0000 0.0000 0.0000

## Properties
Energy of formation in eV per atom: 0.082
Space-group type: P-6m2
Energy above the most stable polymorph in this dataset in meV per atom: 2